(a)
{
  "formula": "Sr4Br",
  "functional": "PBE",
  "state": "relaxed",
  "dos_ef_per_ev_atom": 0.88,
  "lattice": [[-2.632, -6.369, 3.676], [-0.776, 7.578, -1.727], [-2.400, -2.405, -7.033]],
  "species": ["Sr", "Sr", "Sr", "Sr", "Br"],
  "frac_coords": [[0.769, 0.427, 0.196], [0.427, 0.231, 0.659], [0.231, 0.573, 0.804], [0.573, 0.769, 0.341], [0.000, 0.000, 0.000]]
}



(b)
{
  "formula": "Sr4Br",
  "functional": "PBE",
  "state": "relaxed",
  "dos_ef_per_ev_atom": 1.16,
  "lattice": [[-2.437, 2.437, 10.916], [2.437, -2.437, 10.916], [2.437, 2.437, -10.916]],
  "species": ["Sr", "Sr", "Sr", "Sr", "Br"],
  "frac_coords": [[0.750, 0.250, 0.500], [0.250, 0.750, 0.500], [0.593, 0.593, 0.000], [0.407, 0.407, 0.000], [0.000, 0.000, 0.000]]
}



(a) takes first place; second place is 33.4 kJ/mol of atoms up.



(a)
{
  "formula": "Sr3Br2",
  "functional": "PBE",
  "state": "relaxed",
  "dos_ef_per_ev_atom": 0.44,
  "lattice": [[2.227, -3.857, 0.000], [2.227, 3.857, 0.000], [0.000, 0.000, 14.429]],
  "species": ["Sr", "Sr", "Sr", "Br", "Br"],
  "frac_coords": [[0.000, 0.000, 0.000], [0.667, 0.333, 0.613], [0.333, 0.667, 0.387], [0.667, 0.333, 0.116], [0.333, 0.667, 0.884]]
}



(b)
{
  "formula": "Sr3Br2",
  "functional": "PBE",
  "state": "relaxed",
  "dos_ef_per_ev_atom": 0.31,
  "lattice": [[-1.659, 0.520, 9.327], [-7.352, 1.080, 3.864], [-1.462, -6.330, 4.511]],
  "species": ["Sr", "Sr", "Sr", "Sr", "Sr", "Sr", "Br", "Br", "Br", "Br"],
  "frac_coords": [[0.809, 0.639, 0.348], [0.204, 0.348, 0.639], [0.611, 0.441, 0.046], [0.902, 0.046, 0.441], [0.121, 0.879, 0.879], [0.371, 0.129, 0.129], [0.394, 0.755, 0.379], [0.472, 0.379, 0.755], [0.495, 0.856, 0.778], [0.871, 0.778, 0.856]]
}



(a) takes first place; second place is 3.0 kJ/mol of atoms up.